Entry 1:
The following is a GGA-PBE calculation of a geometry-optimized La3TlH3 structure, from the Alexandria database.

Computed properties:
Energy relative to the lowest polymorph listed for this composition = 0 meV/atom

Lattice parameters (Å, degrees): 6.6897 6.6897 6.6897 90.00 90.00 90.00
Last column: magnetic moment on the atom in μB.
Element x y z (fractional)
H  0.7500  0.0000  0.5000  0.00
La  0.0000  0.2500  0.5000  0.17
H  0.0000  0.5000  0.7500  0.00
H  0.0000  0.5000  0.2500  0.00
La  0.2500  0.5000  0.0000  0.17
Tl  0.5000  0.5000  0.5000  -0.01
H  0.2500  0.0000  0.5000  0.00
H  0.5000  0.7500  0.0000  0.00
La  0.0000  0.7500  0.5000  0.17
Tl  0.0000  0.0000  0.0000  -0.01
La  0.5000  0.0000  0.7500  0.17
La  0.5000  0.0000  0.2500  0.17
La  0.7500  0.5000  0.0000  0.17
H  0.5000  0.2500  0.0000  0.00

***

Entry 2:
The following is a GGA-PBE calculation of a geometry-optimized Tb2Nd2Sm4Ho structure, from the Alexandria database.

Computed properties:
E_form = 0.006 eV/atom

Lattice parameters (Å, degrees): 3.6464 9.6265 9.6913 115.16 90.00 100.92
Element x y z (fractional)
Sm  0.8145  0.6290  0.6664
Tb  0.1477  0.2953  0.6658
Sm  0.1855  0.3710  0.3336
Nd  0.6655  0.3311  0.9984
Nd  0.3345  0.6689  0.0016
Sm  0.4815  0.9631  0.6666
Ho  0.0000  0.0000  0.0000
Sm  0.5185  0.0369  0.3334
Tb  0.8523  0.7047  0.3342

***

Entry 3:
The following is a GGA-PBE calculation of a geometry-optimized ScCdBr2 structure, from the Alexandria database.

Computed properties:
Uncorrected formation energy = -0.8371 eV/atom
Energy relative to the lowest polymorph listed for this composition = 171 meV/atom

Lattice parameters (Å, degrees): 3.7330 3.7213 10.2919 89.62 90.00 90.00
Last column: magnetic moment on the atom in μB.
Element x y z (fractional)
Sc  0.5000  0.7500  0.7500  0.12
Br  0.0000  0.7486  0.5684  0.00
Br  0.0000  0.7514  0.9316  0.00
Cd  0.5000  0.2500  0.2500  0.00

***

Entry 4:
The following is a GGA-PBE calculation of a geometry-optimized TaSnMo3 structure, from the Alexandria database.

Computed properties:
Energy relative to the lowest polymorph listed for this composition = 543 meV/atom
E_form = 2.207 eV/atom

Lattice parameters (Å, degrees): 4.8077 4.8077 4.8077 90.00 90.00 90.00
Element x y z (fractional)
Mo  0.0000  0.5000  0.0000
Mo  0.5000  0.0000  0.0000
Mo  0.0000  0.0000  0.5000
Ta  0.5000  0.5000  0.5000
Sn  0.0000  0.0000  0.0000

***

Entry 5:
The following is a GGA-PBE calculation of a geometry-optimized TbNb2Ge2 structure, from the Alexandria database.

Computed properties:
E_form = -0.610 eV/atom

Lattice parameters (Å, degrees): 4.0532 4.0532 6.6840 107.65 107.65 90.00
Element x y z (fractional)
Nb  0.7500  0.2500  0.5000
Ge  0.6030  0.6030  0.2059
Ge  0.3970  0.3970  0.7941
Nb  0.2500  0.7500  0.5000
Tb  0.0000  0.0000  0.0000

***

Entry 6:
The following is a GGA-PBE calculation of a geometry-optimized LiBeSi2 structure, from the Alexandria database.

Computed properties:
Uncorrected formation energy = 0.2602 eV/atom

Lattice parameters (Å, degrees): 3.7752 3.7752 8.3166 76.88 76.88 90.00
Element x y z (fractional)
Li  0.2500  0.7500  0.5000
Si  0.3750  0.3585  0.7500
Be  0.7500  0.2500  0.5000
Si  0.6415  0.1250  0.2500
Si  0.1085  0.6250  0.2500
Si  0.8750  0.8915  0.7500
Be  0.0000  0.0000  0.0000
Li  0.5000  0.5000  0.0000

***

Entry 7:
The following is a GGA-PBE calculation of a geometry-optimized CdBW3 structure, from the Alexandria database.

Computed properties:
Energy relative to the lowest polymorph listed for this composition = 0 meV/atom
E_form = 0.530 eV/atom

Lattice parameters (Å, degrees): 4.2607 4.2607 4.2607 90.00 90.00 90.00
Element x y z (fractional)
B  0.0000  0.0000  0.0000
W  0.0000  0.0000  0.5000
W  0.0000  0.5000  0.0000
Cd  0.5000  0.5000  0.5000
W  0.5000  0.0000  0.0000

***

Entry 8:
The following is a GGA-PBE calculation of a geometry-optimized MgFe2Pb structure, from the Alexandria database.

Computed properties:
E_form = 0.400 eV/atom

Lattice parameters (Å, degrees): 4.0532 4.0532 4.1326 90.01 90.01 90.00
Last column: magnetic moment on the atom in μB.
Element x y z (fractional)
Fe  0.5000  0.5000  0.0000  2.67
Pb  0.0000  0.5000  0.5000  -0.03
Fe  0.0000  0.0000  0.0000  2.67
Mg  0.5000  0.0000  0.5000  -0.03

***

Entry 9:
The following is a GGA-PBE calculation of a geometry-optimized Sr2Y structure, from the Alexandria database.

Computed properties:
Energy relative to the lowest polymorph listed for this composition = 113 meV/atom
E_form = 0.254 eV/atom

Lattice parameters (Å, degrees): 6.3492 6.3492 3.7021 90.00 90.00 120.00
Element x y z (fractional)
Sr  0.6667  0.3333  0.0000
Sr  0.3333  0.6667  0.0000
Y  0.0000  0.0000  0.5000

***

Entry 10:
The following is a GGA-PBE calculation of a geometry-optimized CeDySnAu structure, from the Alexandria database.

Computed properties:
E_form = -0.630 eV/atom

Lattice parameters (Å, degrees): 5.2999 5.2999 5.2999 60.00 60.00 60.00
Last column: magnetic moment on the atom in μB.
Element x y z (fractional)
Au  0.7500  0.7500  0.7500  0.05
Ce  0.0000  0.0000  0.0000  0.99
Dy  0.5000  0.5000  0.5000  0.30
Sn  0.2500  0.2500  0.2500  -0.02